[1]
A plane-wave DFT calculation with SCAN was carried out for a crystal of KBa2Cl relaxed with PBEsol.

Structure (extended XYZ):
```
4
Lattice="5.380 0.000 0.000 0.000 5.380 0.000 0.000 0.000 6.505" Properties=species:S:1:pos:R:3 pbc="T T T"
K 0.000 0.000 0.000
Ba 0.000 2.690 3.252
Ba 2.690 0.000 3.252
Cl 2.690 2.690 0.000
```

Values from the calculation:
- Crystal system: tetragonal
- E_form (uncorrected): -1.86 eV/f.u.
- Volume: 188.29 Å³ per cell
- Space group: P4/mmm
- Density: 3.1 g cm⁻³

[2]
A plane-wave DFT calculation with SCAN was carried out for a crystal of In2CuP2 relaxed with PBEsol.

Structure (extended XYZ):
```
5
Lattice="-2.657 2.657 3.420 2.657 -2.657 3.420 2.657 2.657 -3.420" Properties=species:S:1:pos:R:3 pbc="T T T"
In 2.657 0.000 1.710
In 0.000 2.657 1.710
Cu 0.000 0.000 0.000
P 0.000 0.000 2.274
P 0.000 0.000 4.567
```

Values from the calculation:
- Crystal system: tetragonal
- Volume: 96.59 Å³ per cell
- ΔE_f: 0.252 eV/atom
- Space group: I4/mmm
- Density: 6.1 g cm⁻³

[3]
A plane-wave DFT calculation with SCAN was carried out for a crystal of Sr3TcBr relaxed with PBEsol.

Structure (extended XYZ):
```
5
Lattice="5.730 0.000 0.000 0.000 5.730 0.000 0.000 0.000 5.730" Properties=species:S:1:pos:R:3 pbc="T T T"
Sr 0.000 0.000 2.865
Sr 0.000 2.865 0.000
Sr 2.865 0.000 0.000
Tc 2.865 2.865 2.865
Br 0.000 0.000 0.000
```

Values from the calculation:
- Crystal system: cubic
- E_form (uncorrected): 1.54 eV/f.u.
- Volume: 188.16 Å³ per cell
- Space group: Pm-3m
- Density: 3.9 g cm⁻³

[4]
A plane-wave DFT calculation with SCAN was carried out for a crystal of Al3InAu relaxed with PBEsol.

Structure (extended XYZ):
```
5
Lattice="4.865 0.000 0.000 0.000 4.865 0.000 0.000 0.000 4.865" Properties=species:S:1:pos:R:3 pbc="T T T"
Al 0.000 0.000 2.432
Al 0.000 2.432 0.000
Al 2.432 0.000 0.000
In 2.432 2.432 2.432
Au 0.000 0.000 0.000
```

Values from the calculation:
- Crystal system: cubic
- Volume: 115.14 Å³ per cell
- ΔE_f: 0.101 eV/atom
- Space group: Pm-3m
- Density: 5.7 g cm⁻³

[5]
A plane-wave DFT calculation with SCAN was carried out for a crystal of Pr3Ho relaxed with PBEsol.

Structure (extended XYZ):
```
4
Lattice="-2.537 2.537 5.067 2.537 -2.537 5.067 2.537 2.537 -5.067" Properties=species:S:1:pos:R:3 pbc="T T T"
Pr 0.000 0.000 0.000
Pr 2.537 0.000 2.534
Pr 0.000 2.537 2.534
Ho 0.000 0.000 5.067
```

Values from the calculation:
- Crystal system: tetragonal
- Volume: 130.45 Å³ per cell
- ΔE_f: 0.017 eV/atom
- Space group: I4/mmm
- Density: 7.5 g cm⁻³

[6]
A plane-wave DFT calculation with SCAN was carried out for a crystal of CoNi2As relaxed with PBEsol.

Structure (extended XYZ):
```
4
Lattice="3.065 0.000 0.000 0.000 3.065 0.000 0.000 0.000 4.925" Properties=species:S:1:pos:R:3 pbc="T T T"
Co 0.000 0.000 0.000
Ni 1.533 1.533 1.201
Ni 1.533 1.533 3.724
As 0.000 0.000 2.462
```

Values from the calculation:
- Crystal system: tetragonal
- Volume: 46.28 Å³ per cell
- ΔE_f: 0.042 eV/atom
- Space group: P4/mmm
- Density: 9.0 g cm⁻³

[7]
A plane-wave DFT calculation with SCAN was carried out for a crystal of ZrNbNi2 relaxed with PBEsol.

Structure (extended XYZ):
```
4
Lattice="0.000 3.106 3.106 3.106 0.000 3.106 3.106 3.106 0.000" Properties=species:S:1:pos:R:3 pbc="T T T"
Zr 0.000 0.000 0.000
Nb 3.106 3.106 3.106
Ni 1.553 1.553 1.553
Ni 4.659 4.659 4.659
```

Values from the calculation:
- Crystal system: cubic
- Volume: 59.92 Å³ per cell
- ΔE_f: -0.150 eV/atom
- Space group: Fm-3m
- Density: 8.4 g cm⁻³

[8]
A plane-wave DFT calculation with SCAN was carried out for a crystal of Sr2ZnCu2 relaxed with PBEsol.

Structure (extended XYZ):
```
10
Lattice="7.459 0.000 0.000 0.000 7.459 0.000 0.000 0.000 4.254" Properties=species:S:1:pos:R:3 pbc="T T T"
Sr 1.364 2.365 0.000
Sr 2.365 6.095 0.000
Sr 5.094 1.364 0.000
Sr 6.095 5.094 0.000
Zn 0.000 0.000 2.127
Zn 3.729 3.729 2.127
Cu 0.858 4.587 2.127
Cu 2.872 0.858 2.127
Cu 4.587 6.601 2.127
Cu 6.601 2.872 2.127
```

Values from the calculation:
- Crystal system: tetragonal
- Volume: 236.65 Å³ per cell
- ΔE_f: -0.006 eV/atom
- Space group: P4/mbm
- Density: 5.2 g cm⁻³

[9]
A plane-wave DFT calculation with SCAN was carried out for a crystal of Tl2FeMo relaxed with PBEsol.

Structure (extended XYZ):
```
4
Lattice="2.982 -4.574 0.000 2.982 4.574 0.000 -1.132 0.000 2.687" Properties=species:S:1:pos:R:3 pbc="T T T"
Tl 1.491 2.287 0.000
Tl 1.491 -2.287 0.000
Fe -0.566 0.000 1.343
Mo 2.417 0.000 1.343
```

Values from the calculation:
- Crystal system: monoclinic
- Volume: 73.30 Å³ per cell
- ΔE_f: 0.760 eV/atom
- Space group: C2/m
- Density: 12.7 g cm⁻³

[10]
A plane-wave DFT calculation with SCAN was carried out for a crystal of SnW3O9 relaxed with PBEsol.

Structure (extended XYZ):
```
26
Lattice="6.466 -3.725 0.000 6.466 3.725 0.000 0.000 0.000 7.587" Properties=species:S:1:pos:R:3 pbc="T T T"
Sn 6.466 3.346 5.690
Sn 6.466 -3.346 1.897
W 3.231 1.856 5.690
W 6.466 0.036 1.897
W 3.231 -1.856 1.897
W 9.702 1.856 5.690
W 6.466 -0.036 5.690
W 9.702 -1.856 1.897
O 3.233 1.863 0.000
O 3.233 1.863 3.793
O 5.196 1.548 5.690
O 2.732 0.034 5.690
O 2.732 -0.034 1.897
O 5.037 1.235 1.897
O 7.736 1.548 5.690
O 7.896 1.235 1.897
O 3.233 -1.863 0.000
O 3.233 -1.863 3.793
O 6.466 0.000 0.000
O 6.466 0.000 3.793
O 5.037 -1.235 5.690
O 5.196 -1.548 1.897
O 7.896 -1.235 5.690
O 10.201 0.034 5.690
O 10.201 -0.034 1.897
O 7.736 -1.548 1.897
```

Values from the calculation:
- Crystal system: orthorhombic
- E_form (uncorrected): -26.63 eV/f.u.
- Volume: 365.50 Å³ per cell
- Space group: Cmcm
- Density: 7.4 g cm⁻³

[11]
A plane-wave DFT calculation with SCAN was carried out for a crystal of Sr3B6H2O13 relaxed with PBEsol.

Structure (extended XYZ):
```
48
Lattice="6.620 0.000 0.000 -0.393 6.629 0.000 -0.868 -0.261 11.320" Properties=species:S:1:pos:R:3 pbc="T T T"
Sr 0.090 2.443 3.008
Sr 1.199 1.332 11.015
Sr 1.788 4.692 5.411
Sr 3.571 1.676 5.908
Sr 4.159 5.037 0.305
Sr 5.269 3.925 8.311
B -0.232 5.585 3.131
B 0.402 5.144 0.728
B 0.603 1.427 6.328
B 0.767 6.212 7.943
B 1.958 6.445 2.277
B 2.100 4.155 8.751
B 3.258 2.213 2.569
B 3.400 -0.076 9.043
B 4.591 0.157 3.376
B 4.756 4.942 4.991
B 4.957 1.225 10.591
B 5.591 0.784 8.189
H 0.574 4.115 10.257
H 2.416 2.113 8.455
H 2.943 4.255 2.865
H 4.784 2.254 1.062
O -0.370 4.784 1.848
O -0.563 1.674 7.074
O -0.874 4.523 10.818
O -0.629 6.231 8.277
O 1.064 2.288 5.400
O 1.169 5.869 3.347
O 1.357 0.261 6.597
O 1.562 5.898 0.924
O 1.151 4.786 7.824
O 2.180 1.282 2.208
O 1.454 3.656 10.005
O 1.989 0.294 8.916
O 2.604 3.389 3.209
O 2.755 2.980 8.110
O 3.370 6.075 2.404
O 3.905 2.713 1.314
O 3.179 5.087 9.112
O 4.207 1.583 3.495
O 3.797 0.470 10.395
O 4.001 6.107 4.722
O 4.190 0.500 7.973
O 4.294 4.081 5.920
O 5.988 0.138 3.043
O 6.233 1.846 0.502
O 5.922 4.695 4.245
O 5.728 1.584 9.472
```

Values from the calculation:
- Crystal system: triclinic
- VASP energy: -530.22 eV for the cell shown
- Volume: 496.75 Å³ per cell
- Space group: P-1
- Density: 3.6 g cm⁻³

[12]
A plane-wave DFT calculation with SCAN was carried out for a crystal of Mo3AuO relaxed with PBEsol.

Structure (extended XYZ):
```
5
Lattice="4.083 0.000 0.000 0.000 4.083 0.000 0.000 0.000 4.083" Properties=species:S:1:pos:R:3 pbc="T T T"
Mo 0.000 0.000 2.042
Mo 0.000 2.042 0.000
Mo 2.042 0.000 0.000
Au 2.042 2.042 2.042
O 0.000 0.000 0.000
```

Values from the calculation:
- Crystal system: cubic
- E_form (uncorrected): -1.17 eV/f.u.
- Volume: 68.09 Å³ per cell
- Space group: Pm-3m
- Density: 12.2 g cm⁻³

- What is the density in the eleventh record?
  3.6 g cm⁻³

- Among the records above, which one has the highest density?
  Tl2FeMo

- Number 4 is which compound?
  Al3InAu

- Which formula does entry 1 have?
  KBa2Cl